Entry 1:
VASP calculation (GGA-PBE) on a relaxed structure of Te2IrOs.

The structure in POSCAR format:
```
Te2IrOs
1.0
3.407 0.000 0.000
0.000 3.407 0.000
0.000 0.000 6.496
Te Ir Os
2 1 1
Direct
0.000 0.000 0.250 Te
0.000 0.000 0.750 Te
0.500 0.500 0.000 Ir
0.500 0.500 0.500 Os
```

Summary:
For the polymorph energy (0 for the lowest one), the calculation gives 611.9 meV/atom. The total energy comes out at -5.84 eV per atom. The formation energy (no corrections) comes out at 0.7543 eV/atom. The space group is P4/mmm, No. 123.

=====

Entry 2:
VASP calculation (GGA-PBE) on a relaxed structure of Th6Te3IrOs2.

The structure in POSCAR format:
```
Th6Te3IrOs2
1.0
9.803 -2.099 0.000
9.803 2.099 0.000
-3.029 0.000 8.568
Th Te Ir Os
6 3 1 2
Direct
0.013 0.013 0.225 Th
0.322 0.322 0.445 Th
0.343 0.343 0.885 Th
0.657 0.657 0.115 Th
0.678 0.678 0.555 Th
0.987 0.987 0.775 Th
0.166 0.166 0.834 Te
0.500 0.500 0.500 Te
0.834 0.834 0.166 Te
0.500 0.500 0.000 Ir
0.166 0.166 0.333 Os
0.834 0.834 0.667 Os
```

Summary:
The total energy comes out at -8.05 eV per atom. The formation energy (no corrections) comes out at -0.9471 eV/atom. The space group is C2/m, No. 12.

=====

Entry 3:
VASP calculation (GGA-PBE) on a relaxed structure of Th8Te4Ir3Os.

The structure in POSCAR format:
```
Th8Te4Ir3Os
1.0
4.202 2.426 7.697
-4.202 2.426 7.697
0.000 -4.852 7.697
Th Te Ir Os
8 4 3 1
Direct
0.234 0.234 0.234 Th
0.237 0.732 0.732 Th
0.268 0.268 0.763 Th
0.268 0.763 0.268 Th
0.732 0.237 0.732 Th
0.732 0.732 0.237 Th
0.763 0.268 0.268 Th
0.766 0.766 0.766 Th
0.000 0.000 0.000 Te
0.000 0.500 0.500 Te
0.500 0.000 0.500 Te
0.500 0.500 0.000 Te
0.000 0.000 0.500 Ir
0.000 0.500 0.000 Ir
0.500 0.000 0.000 Ir
0.500 0.500 0.500 Os
```

Summary:
The total energy comes out at -7.93 eV per atom. The formation energy (no corrections) comes out at -1.0749 eV/atom. The space group is R-3m, No. 166.

=====

Entry 4:
VASP calculation (GGA-PBE) on a relaxed structure of Th6TeIr3Os2.

The structure in POSCAR format:
```
Th6TeIr3Os2
1.0
9.053 -2.073 0.000
9.053 2.073 0.000
-1.855 0.000 8.349
Th Te Ir Os
6 1 3 2
Direct
0.009 0.009 0.281 Th
0.319 0.319 0.898 Th
0.332 0.332 0.415 Th
0.668 0.668 0.585 Th
0.681 0.681 0.102 Th
0.991 0.991 0.719 Th
0.500 0.500 0.000 Te
0.159 0.159 0.836 Ir
0.500 0.500 0.500 Ir
0.841 0.841 0.164 Ir
0.167 0.167 0.336 Os
0.833 0.833 0.664 Os
```

Summary:
The total energy comes out at -8.75 eV per atom. The formation energy (no corrections) comes out at -0.6945 eV/atom. The space group is C2/m, No. 12.

=====

Entry 5:
VASP calculation (GGA-PBE) on a relaxed structure of Th6Te3Ir2Os.

The structure in POSCAR format:
```
Th6Te3Ir2Os
1.0
9.794 -2.105 0.000
9.794 2.105 0.000
-3.046 0.000 8.570
Th Te Ir Os
6 3 2 1
Direct
0.010 0.010 0.220 Th
0.323 0.323 0.443 Th
0.346 0.346 0.892 Th
0.654 0.654 0.108 Th
0.677 0.677 0.557 Th
0.990 0.990 0.780 Th
0.167 0.167 0.833 Te
0.500 0.500 0.500 Te
0.833 0.833 0.167 Te
0.167 0.167 0.334 Ir
0.833 0.833 0.666 Ir
0.500 0.500 0.000 Os
```

Summary:
The total energy comes out at -7.95 eV per atom. The formation energy (no corrections) comes out at -1.0455 eV/atom. The space group is C2/m, No. 12.

=====

Entry 6:
VASP calculation (GGA-PBE) on a relaxed structure of Th2IrOs.

The structure in POSCAR format:
```
Th2IrOs
1.0
2.056 1.187 6.724
-2.056 1.187 6.724
0.000 -2.374 6.724
Th Ir Os
2 1 1
Direct
0.248 0.248 0.248 Th
0.752 0.752 0.752 Th
0.000 0.000 0.000 Ir
0.500 0.500 0.500 Os
```

Summary:
The total energy comes out at -9.23 eV per atom. The calculation puts the formation energy from the elements at -0.50 eV/atom. The space group is R-3m, No. 166.

=====

| no. | total moment (μB per cell) |
| --- | --- |
| 1 | 0.60 |
| 2 | 0.00 |
| 3 | 0.00 |
| 4 | 0.00 |
| 5 | 0.00 |
| 6 | 0.00 |